# Er2TcO8

A relaxed Er2TcO8 crystal (GGA-PBE, the Alexandria database).

Summary:
uncorrected formation energy = -1.57 eV/atom
space-group type = C2/m (12)
calculated total energy = -6.9488 eV/atom

a b c (Å): 5.4180 5.4180 5.8538
angles (deg): 110.36 110.36 97.67
With the nearest neighbours (Å) after each atom.
Atoms (fractional coordinates):
Er  0.2026  0.7974  0.0000  6 O 2.24-2.36
Er  0.7974  0.2026  0.0000  6 O 2.24-2.36
Tc  0.5000  0.5000  0.5000  4 O 1.79-1.93
O  0.1816  0.1816  0.2991  1 Tc 1.93
O  0.1836  0.3606  0.9348  1 O 1.44
O  0.2804  0.7196  0.5000  1 Tc 1.79
O  0.3606  0.1836  0.9348  1 O 1.44
O  0.6394  0.8164  0.0652  1 O 1.44
O  0.7196  0.2804  0.5000  1 Tc 1.79
O  0.8164  0.6394  0.0652  1 O 1.44
O  0.8184  0.8184  0.7009  1 Tc 1.93